A | Tc3BIr: optimized geometry, PBE-GGA.

Lattice parameters (Å, degrees): 4.7071 4.7071 4.7071 90.00 90.00 90.00
Last column: nearest neighbours and their distance in Å.
Fractional coordinates of all 5 atoms:
B 0.5000 0.5000 0.5000  12 Tc 3.33
Ir 0.0000 0.0000 0.0000  6 Tc 2.35
Tc 0.0000 0.5000 0.0000  2 Ir 2.35
Tc 0.0000 0.0000 0.5000  2 Ir 2.35
Tc 0.5000 0.0000 0.0000  2 Ir 2.35

Properties
N(E_F): 5.87 states/eV/cell
M_tot: 3.54 Bohr magnetons per cell

---

B | Tc3BIr: optimized geometry, PBE-GGA.

Lattice parameters (Å, degrees): 4.0683 4.0683 4.0683 90.00 90.00 90.00
Last column: nearest neighbours and their distance in Å.
Fractional coordinates of all 5 atoms:
B 0.0000 0.0000 0.0000  6 Tc 2.03
Ir 0.5000 0.5000 0.5000  12 Tc 2.88
Tc 0.0000 0.5000 0.0000  2 B 2.03
Tc 0.0000 0.0000 0.5000  2 B 2.03
Tc 0.5000 0.0000 0.0000  2 B 2.03

Properties
N(E_F): 5.31 states/eV/cell
M_tot: 0.00 Bohr magnetons per cell

---

Which structure is most stable? B, by 239.3 kJ/mol of atoms over the runner-up.

---

A | B3TeIr: optimized geometry, PBE-GGA.

Lattice parameters (Å, degrees): 4.3159 4.3159 4.3159 90.00 90.00 90.00
Last column: nearest neighbours and their distance in Å.
Fractional coordinates of all 5 atoms:
B 0.0000 0.5000 0.0000  2 Te 2.16
B 0.0000 0.0000 0.5000  2 Te 2.16
B 0.5000 0.0000 0.0000  2 Te 2.16
Ir 0.5000 0.5000 0.5000  12 B 3.05
Te 0.0000 0.0000 0.0000  6 B 2.16

Properties
N(E_F): 3.77 states/eV/cell
M_tot: 0.00 Bohr magnetons per cell

---

B | B3TeIr: optimized geometry, PBE-GGA.

Lattice parameters (Å, degrees): 4.2296 4.2296 4.2296 90.00 90.00 90.00
Last column: nearest neighbours and their distance in Å.
Fractional coordinates of all 5 atoms:
B 0.0000 0.5000 0.0000  2 Ir 2.11
B 0.0000 0.0000 0.5000  2 Ir 2.11
B 0.5000 0.0000 0.0000  2 Ir 2.11
Ir 0.0000 0.0000 0.0000  6 B 2.11
Te 0.5000 0.5000 0.5000  12 B 2.99

Properties
N(E_F): 3.08 states/eV/cell
M_tot: 0.00 Bohr magnetons per cell

---

Which structure is most stable? B, by 146.9 kJ/mol of atoms over the runner-up.